[1]
Below is a relaxed structure of CaAcRu2O8, with properties calculated at the GGA-PBE level.

Geometry as POSCAR:
```
CaAcRu2O8
1.0
5.9892 0.0000 0.0000
-2.9946 5.1868 0.0000
0.0000 0.0000 7.1650
Ca Ac Ru O
1 1 2 8
Direct
0.0000 0.0000 0.0000
0.0000 0.0000 0.5000
0.3333 0.6667 0.8334
0.6667 0.3333 0.1666
0.1650 0.3300 0.7504
0.1650 0.8350 0.7504
0.3300 0.1650 0.2496
0.3333 0.6667 0.0781
0.6667 0.3333 0.9219
0.6700 0.8350 0.7504
0.8350 0.1650 0.2496
0.8350 0.6700 0.2496
```

## Properties
Space group   No. 164

***

[2]
Below is a relaxed structure of CaAcS2O8, with properties calculated at the GGA-PBE level.

Geometry as POSCAR:
```
CaAcS2O8
1.0
5.2043 0.0000 0.0000
-2.6021 4.5070 0.0000
0.0000 0.0000 8.1793
Ca Ac S O
1 1 2 8
Direct
0.0000 0.0000 0.0000
0.0000 0.0000 0.5000
0.3333 0.6667 0.7055
0.6667 0.3333 0.2945
0.1765 0.3530 0.7608
0.1765 0.8235 0.7608
0.3333 0.6667 0.5204
0.3530 0.1765 0.2392
0.6470 0.8235 0.7608
0.6667 0.3333 0.4796
0.8235 0.1765 0.2392
0.8235 0.6470 0.2392
```

## Properties
Space group   No. 164

***

[3]
Below is a relaxed structure of CaAc2SO8, with properties calculated at the GGA-PBE level.

Geometry as POSCAR:
```
CaAc2SO8
1.0
5.4612 0.0000 0.0000
-2.7306 4.7296 0.0000
0.0000 0.0000 6.5068
Ca Ac S O
1 2 1 8
Direct
0.0000 0.0000 0.0000
0.3333 0.6667 0.3414
0.6667 0.3333 0.6586
0.0000 0.0000 0.5000
0.1453 0.2907 0.6521
0.1453 0.8547 0.6521
0.2907 0.1453 0.3479
0.3333 0.6667 0.0055
0.6667 0.3333 0.9945
0.7093 0.8547 0.6521
0.8547 0.1453 0.3479
0.8547 0.7093 0.3479
```

## Properties
Space group   No. 164

***

[4]
Below is a relaxed structure of CaAc2S2O2, with properties calculated at the GGA-PBE level.

Geometry as POSCAR:
```
CaAc2S2O2
1.0
-2.1945 2.1945 7.6012
2.1945 -2.1945 7.6012
2.1945 2.1945 -7.6012
Ca Ac S O
1 2 2 2
Direct
0.0000 0.0000 0.0000
0.3783 0.3783 0.0000
0.6217 0.6217 0.0000
0.1807 0.1807 0.0000
0.8193 0.8193 0.0000
0.0000 0.5000 0.5000
0.5000 0.0000 0.5000
```

## Properties
Space group   No. 139

***

[5]
Below is a relaxed structure of CaAcS2O6, with properties calculated at the GGA-PBE level.

Geometry as POSCAR:
```
CaAcS2O6
1.0
2.5749 1.4866 6.6153
-2.5749 1.4866 6.6153
0.0000 -2.9733 6.6153
Ca Ac S O
1 1 2 6
Direct
0.0000 0.0000 0.0000
0.5000 0.5000 0.5000
0.2800 0.2800 0.2800
0.7200 0.7200 0.7200
0.9995 0.1908 0.5431
0.0005 0.8092 0.4569
0.1908 0.5431 0.9995
0.4569 0.0005 0.8092
0.5431 0.9995 0.1908
0.8092 0.4569 0.0005
```

## Properties
Space group   No. 148

***

[6]
Below is a relaxed structure of Ca2Ac4Sb3O2, with properties calculated at the GGA-PBE level.

Geometry as POSCAR:
```
Ca2Ac4Sb3O2
1.0
-2.5519 2.5519 12.9611
2.5519 -2.5519 12.9611
2.5519 2.5519 -12.9611
Ca Ac Sb O
2 4 3 2
Direct
0.1980 0.1980 0.0000
0.8020 0.8020 0.0000
0.0854 0.5854 0.5000
0.4146 0.9146 0.5000
0.5854 0.0854 0.5000
0.9146 0.4146 0.5000
0.3204 0.3204 0.0000
0.5000 0.5000 0.0000
0.6796 0.6796 0.0000
0.1074 0.1074 0.0000
0.8926 0.8926 0.0000
```

## Properties
Space group   No. 139

***

[7]
Below is a relaxed structure of CaAc2SbO6, with properties calculated at the GGA-PBE level.

Geometry as POSCAR:
```
CaAc2SbO6
1.0
5.6474 0.0000 0.0000
0.0000 5.6474 0.0000
0.0000 0.0000 5.5018
Ca Ac Sb O
1 2 1 6
Direct
0.0000 0.0000 0.0000
0.0000 0.5000 0.4444
0.5000 0.0000 0.4444
0.5000 0.5000 0.0199
0.0000 0.0000 0.5920
0.2617 0.2617 0.1689
0.2617 0.7383 0.1689
0.5000 0.5000 0.6310
0.7383 0.2617 0.1689
0.7383 0.7383 0.1689
```

## Properties
Space group   No. 99

***

[8]
Below is a relaxed structure of CaAcSbO, with properties calculated at the GGA-PBE level.

Geometry as POSCAR:
```
CaAcSbO
1.0
4.7168 0.0000 0.0000
0.0000 4.7168 0.0000
0.0000 0.0000 9.5746
Ca Ac Sb O
2 2 2 2
Direct
0.2500 0.7500 0.0000
0.7500 0.2500 0.0000
0.2500 0.2500 0.3234
0.7500 0.7500 0.6766
0.2500 0.2500 0.7030
0.7500 0.7500 0.2970
0.2500 0.2500 0.0744
0.7500 0.7500 0.9256
```

## Properties
Space group   No. 129

***

[9]
Below is a relaxed structure of CaAc2ScO6, with properties calculated at the GGA-PBE level.

Geometry as POSCAR:
```
CaAc2ScO6
1.0
5.9233 0.0000 0.0000
0.0000 6.1402 0.0000
-5.9102 0.0000 8.4470
Ca Ac Sc O
2 4 2 12
Direct
0.0000 0.0000 0.0000
0.0000 0.5000 0.5000
0.2328 0.0545 0.7477
0.2328 0.4455 0.2477
0.7672 0.5545 0.7523
0.7672 0.9455 0.2523
0.5000 0.0000 0.5000
0.5000 0.5000 0.0000
0.1548 0.1859 0.4462
0.1548 0.3141 0.9462
0.2520 0.7115 0.4364
0.2520 0.7885 0.9364
0.3736 0.0509 0.2628
0.3736 0.4491 0.7628
0.6264 0.5509 0.2372
0.6264 0.9491 0.7372
0.7480 0.2115 0.0636
0.7480 0.2885 0.5636
0.8452 0.6859 0.0538
0.8452 0.8141 0.5538
```

## Properties
Space group   No. 14

***

[10]
Below is a relaxed structure of CaAcSeO6, with properties calculated at the GGA-PBE level.

Geometry as POSCAR:
```
CaAcSeO6
1.0
5.5574 0.0000 0.0000
-2.7787 4.8128 0.0000
0.0000 0.0000 5.0935
Ca Ac Se O
1 1 1 6
Direct
0.0000 0.0000 0.0000
0.6667 0.3333 0.5000
0.3333 0.6667 0.0000
0.0623 0.3996 0.2054
0.0623 0.6626 0.7946
0.3374 0.3996 0.7946
0.3374 0.9377 0.2054
0.6004 0.6626 0.2054
0.6004 0.9377 0.7946
```

## Properties
Space group   No. 149

***

[11]
Below is a relaxed structure of CaAcSe2O8, with properties calculated at the GGA-PBE level.

Geometry as POSCAR:
```
CaAcSe2O8
1.0
5.8734 0.0000 0.0000
-2.9367 5.0865 0.0000
0.0000 0.0000 7.3094
Ca Ac Se O
1 1 2 8
Direct
0.0000 0.0000 0.0000
0.0000 0.0000 0.5000
0.3333 0.6667 0.8208
0.6667 0.3333 0.1792
0.1678 0.3355 0.7469
0.1678 0.8322 0.7469
0.3333 0.6667 0.0468
0.3355 0.1678 0.2531
0.6645 0.8322 0.7469
0.6667 0.3333 0.9532
0.8322 0.1678 0.2531
0.8322 0.6645 0.2531
```

## Properties
Space group   No. 164

***

[12]
Below is a relaxed structure of CaAc2SeO8, with properties calculated at the GGA-PBE level.

Geometry as POSCAR:
```
CaAc2SeO8
1.0
5.5732 0.0000 0.0000
-2.7866 4.8266 0.0000
0.0000 0.0000 6.5641
Ca Ac Se O
1 2 1 8
Direct
0.0000 0.0000 0.0000
0.3333 0.6667 0.3442
0.6667 0.3333 0.6558
0.0000 0.0000 0.5000
0.1534 0.3068 0.6629
0.1534 0.8466 0.6629
0.3068 0.1534 0.3372
0.3333 0.6667 0.0129
0.6667 0.3333 0.9871
0.6932 0.8466 0.6629
0.8466 0.1534 0.3372
0.8466 0.6932 0.3372
```

## Properties
Space group   No. 164

***

[13]
Below is a relaxed structure of Ca2AcSeO8, with properties calculated at the GGA-PBE level.

Geometry as POSCAR:
```
Ca2AcSeO8
1.0
5.2602 0.0000 0.0000
-2.6301 4.5554 0.0000
0.0000 0.0000 6.7860
Ca Ac Se O
2 1 1 8
Direct
0.3333 0.6667 0.3816
0.6667 0.3333 0.6184
0.0000 0.0000 0.0000
0.0000 0.0000 0.5000
0.1594 0.3187 0.6575
0.1594 0.8406 0.6575
0.3187 0.1594 0.3425
0.3333 0.6667 0.0436
0.6667 0.3333 0.9564
0.6813 0.8406 0.6575
0.8406 0.1594 0.3425
0.8406 0.6813 0.3425
```

## Properties
Space group   No. 164

***

[14]
Below is a relaxed structure of Ca2Ac4Sn3O2, with properties calculated at the GGA-PBE level.

Geometry as POSCAR:
```
Ca2Ac4Sn3O2
1.0
-2.5859 2.5859 13.0394
2.5859 -2.5859 13.0394
2.5859 2.5859 -13.0394
Ca Ac Sn O
2 4 3 2
Direct
0.1998 0.1998 0.0000
0.8002 0.8002 0.0000
0.0899 0.5899 0.5000
0.4101 0.9101 0.5000
0.5899 0.0899 0.5000
0.9101 0.4101 0.5000
0.3228 0.3228 0.0000
0.5000 0.5000 0.0000
0.6772 0.6772 0.0000
0.1050 0.1050 0.0000
0.8950 0.8950 0.0000
```

## Properties
Space group   No. 139

***

[15]
Below is a relaxed structure of CaAc2SnO6, with properties calculated at the GGA-PBE level.

Geometry as POSCAR:
```
CaAc2SnO6
1.0
5.7269 0.0000 0.0000
0.0000 5.7269 0.0000
0.0000 0.0000 5.1980
Ca Ac Sn O
1 2 1 6
Direct
0.0000 0.0000 0.0000
0.0000 0.5000 0.4393
0.5000 0.0000 0.4393
0.5000 0.5000 0.0209
0.0000 0.0000 0.5703
0.2622 0.2622 0.1528
0.2622 0.7378 0.1528
0.5000 0.5000 0.6350
0.7378 0.2622 0.1528
0.7378 0.7378 0.1528
```

## Properties
Space group   No. 99

***

[16]
Below is a relaxed structure of Ca2AcTaO6, with properties calculated at the GGA-PBE level.

Geometry as POSCAR:
```
Ca2AcTaO6
1.0
2.9280 1.6905 5.1060
-2.9280 1.6905 5.1060
0.0000 -3.3810 5.1060
Ca Ac Ta O
2 1 1 6
Direct
0.0000 0.0000 0.0000
0.4933 0.4933 0.4933
0.2218 0.2218 0.2218
0.7053 0.7053 0.7053
0.0456 0.4548 0.8038
0.3449 0.8774 0.6239
0.4548 0.8038 0.0456
0.6239 0.3449 0.8774
0.8038 0.0456 0.4548
0.8774 0.6239 0.3449
```

## Properties
Space group   No. 146

***

[17]
Below is a relaxed structure of CaAc2TaO6, with properties calculated at the GGA-PBE level.

Geometry as POSCAR:
```
CaAc2TaO6
1.0
5.6235 0.0000 0.0000
0.0000 5.6235 0.0000
0.0000 0.0000 5.3730
Ca Ac Ta O
1 2 1 6
Direct
0.0000 0.0000 0.0000
0.0000 0.5000 0.4500
0.5000 0.0000 0.4500
0.5000 0.5000 0.0227
0.0000 0.0000 0.5796
0.2689 0.2689 0.1679
0.2689 0.7311 0.1679
0.5000 0.5000 0.6673
0.7311 0.2689 0.1679
0.7311 0.7311 0.1679
```

## Properties
Space group   No. 99

***

[18]
Below is a relaxed structure of Ca2AcTcO8, with properties calculated at the GGA-PBE level.

Geometry as POSCAR:
```
Ca2AcTcO8
1.0
5.3495 0.0000 0.0000
-2.6748 4.6328 0.0000
0.0000 0.0000 6.7590
Ca Ac Tc O
2 1 1 8
Direct
0.3333 0.6667 0.3855
0.6667 0.3333 0.6145
0.0000 0.0000 0.0000
0.0000 0.0000 0.5000
0.1633 0.3267 0.6674
0.1633 0.8367 0.6674
0.3267 0.1633 0.3326
0.3333 0.6667 0.0526
0.6667 0.3333 0.9474
0.6733 0.8367 0.6674
0.8367 0.1633 0.3326
0.8367 0.6733 0.3326
```

## Properties
Space group   No. 164

***

[19]
Below is a relaxed structure of CaAc2TcO8, with properties calculated at the GGA-PBE level.

Geometry as POSCAR:
```
CaAc2TcO8
1.0
4.6044 0.0000 0.0000
-0.3906 5.5136 0.0000
-0.0049 -0.0044 7.3725
Ca Ac Tc O
1 2 1 8
Direct
0.0000 0.0000 0.0000
0.4992 0.4999 0.7499
0.5008 0.5001 0.2501
0.0000 0.0000 0.5000
0.0577 0.7675 0.3114
0.0578 0.7693 0.6894
0.4050 0.2566 0.9999
0.4101 0.1085 0.4999
0.5899 0.8915 0.5001
0.5950 0.7434 0.0001
0.9422 0.2307 0.3106
0.9423 0.2325 0.6886
```

## Properties
Space group   No. 2

***

[20]
Below is a relaxed structure of CaAc2TcO6, with properties calculated at the GGA-PBE level.

Geometry as POSCAR:
```
CaAc2TcO6
1.0
5.8646 0.0000 0.0000
0.0000 6.0514 0.0000
-5.8254 0.0000 8.3696
Ca Ac Tc O
2 4 2 12
Direct
0.0000 0.0000 0.0000
0.0000 0.5000 0.5000
0.2615 0.0509 0.7491
0.2615 0.4491 0.2491
0.7385 0.5509 0.7509
0.7385 0.9491 0.2509
0.5000 0.0000 0.5000
0.5000 0.5000 0.0000
0.1689 0.0359 0.2659
0.1689 0.4641 0.7659
0.2665 0.6896 0.0485
0.2665 0.8104 0.5485
0.3693 0.2199 0.0549
0.3693 0.2801 0.5549
0.6307 0.7199 0.4451
0.6307 0.7801 0.9451
0.7335 0.1896 0.4515
0.7335 0.3104 0.9515
0.8311 0.5359 0.2341
0.8311 0.9641 0.7341
```

## Properties
Space group   No. 14

***

[21]
Below is a relaxed structure of CaAcTcO6, with properties calculated at the GGA-PBE level.

Geometry as POSCAR:
```
CaAcTcO6
1.0
5.5918 0.0000 0.0000
-2.7959 4.8426 0.0000
0.0000 0.0000 5.1797
Ca Ac Tc O
1 1 1 6
Direct
0.0000 0.0000 0.0000
0.6667 0.3333 0.5000
0.3333 0.6667 0.0000
0.0544 0.3863 0.2110
0.0544 0.6682 0.7890
0.3318 0.3863 0.7890
0.3318 0.9456 0.2110
0.6137 0.6682 0.2110
0.6137 0.9456 0.7890
```

## Properties
Space group   No. 149

***

| no. | E (eV/atom) |
| --- | --- |
| 1 | -6.97 |
| 2 | -6.51 |
| 3 | -6.48 |
| 4 | -6.66 |
| 5 | -6.36 |
| 6 | -5.48 |
| 7 | -6.96 |
| 8 | -5.85 |
| 9 | -7.73 |
| 10 | -6.21 |
| 11 | -5.98 |
| 12 | -6.33 |
| 13 | -5.92 |
| 14 | -5.22 |
| 15 | -7.09 |
| 16 | -8.06 |
| 17 | -8.15 |
| 18 | -6.68 |
| 19 | -7.27 |
| 20 | -7.78 |
| 21 | -7.41 |